A plane-wave DFT calculation with meta-GGA SCAN was carried out for ScC2S at its PBEsol-relaxed geometry.

Structure (CIF):
```
data_ScC2S
_chemical_formula_sum 'Sc4 C8 S4'
_cell_length_a 5.259
_cell_length_b 5.259
_cell_length_c 6.226
_cell_angle_alpha 90.00
_cell_angle_beta 90.00
_cell_angle_gamma 90.00
_symmetry_space_group_name_H-M 'I -4 2 d'
_symmetry_Int_Tables_number 122
_symmetry_space_group_name_Hall 'I -4 2bw'
loop_
_atom_site_label
_atom_site_type_symbol
_atom_site_fract_x
_atom_site_fract_y
_atom_site_fract_z
Sc1 Sc 0.000 0.000 0.000
C1 C 0.159 0.250 0.625
S1 S 0.000 0.000 0.500
```

Mass density (g/cm3): 3.9
Fermi-level density of states (states/eV per atom): 0.284
Total DFT energy (no corrections) (eV per atom): -10.396


A plane-wave DFT calculation with meta-GGA SCAN was carried out for CSe2S at its PBEsol-relaxed geometry.

Structure (CIF):
```
data_CSe2S
_chemical_formula_sum 'C4 Se8 S4'
_cell_length_a 6.177
_cell_length_b 6.177
_cell_length_c 6.177
_cell_angle_alpha 90.00
_cell_angle_beta 90.00
_cell_angle_gamma 90.00
_symmetry_space_group_name_H-M 'F m -3 m'
_symmetry_Int_Tables_number 225
_symmetry_space_group_name_Hall '-F 4 2 3'
loop_
_atom_site_label
_atom_site_type_symbol
_atom_site_fract_x
_atom_site_fract_y
_atom_site_fract_z
C1 C 0.000 0.000 0.000
Se1 Se 0.250 0.250 0.250
S1 S 0.000 0.000 0.500
```

Mass density (g/cm3): 5.7
Fermi-level density of states (states/eV per atom): 0.687
Total DFT energy (no corrections) (eV per atom): -12.977


A plane-wave DFT calculation with meta-GGA SCAN was carried out for CSe3S at its PBEsol-relaxed geometry.

Structure (CIF):
```
data_CSe3S
_chemical_formula_sum 'C1 Se3 S1'
_cell_length_a 4.734
_cell_length_b 4.734
_cell_length_c 4.734
_cell_angle_alpha 90.00
_cell_angle_beta 90.00
_cell_angle_gamma 90.00
_symmetry_space_group_name_H-M 'P m -3 m'
_symmetry_Int_Tables_number 221
_symmetry_space_group_name_Hall '-P 4 2 3'
loop_
_atom_site_label
_atom_site_type_symbol
_atom_site_fract_x
_atom_site_fract_y
_atom_site_fract_z
C1 C 0.000 0.000 0.000
Se1 Se 0.000 0.500 0.500
S1 S 0.500 0.500 0.500
```

Mass density (g/cm3): 4.4
Fermi-level density of states (states/eV per atom): 0.892
Total DFT energy (no corrections) (eV per atom): -14.003